DFT (PBE+U) results for an optimized crystal structure of HfMo2WF.

Cell: 5.2429 5.2429 5.2872 Å, 90.00 90.00 90.00°
Atoms (fractional coordinates):
Hf 0.0000 0.0000 0.0000
Mo 0.0000 0.5000 0.0000
Mo 0.5000 0.0000 0.0000
W 0.0000 0.0000 0.5000
F 0.5000 0.5000 0.5000

E_tot   -22.77 eV for the cell shown
SG   P4/mmm (123)